TlAg8Au4 | PBE-GGA | relaxed

Results
Its crystal system is orthorhombic. The symmetry is Pmm2 (25). The total energy is -2.916 eV/atom. The calculation puts the total moment at 0.00 μB/cell. As for the density of states at the Fermi level: 0.4483 states/eV per atom.

a = 2.956 Å, b = 4.723 Å, c = 18.192 Å
α = 90.00°, β = 90.00°, γ = 90.00°
Atoms (fractional coordinates):
Tl  0.000  0.000  0.000
Ag  0.000  0.000  0.561
Ag  0.000  0.000  0.841
Ag  0.000  0.500  0.184
Ag  0.000  0.500  0.751
Ag  0.500  0.000  0.142
Ag  0.500  0.000  0.421
Ag  0.500  0.500  0.328
Ag  0.500  0.500  0.609
Au  0.000  0.000  0.279
Au  0.000  0.500  0.469
Au  0.500  0.000  0.702
Au  0.500  0.500  0.896

---

TlAg7Au5 | PBE-GGA | relaxed

Results
Its crystal system is monoclinic. The symmetry is Cm (8). The total energy is -2.959 eV/atom. The calculation puts the total moment at 0.00 μB/cell. As for the density of states at the Fermi level: 0.2859 states/eV per atom.

a = 7.384 Å, b = 7.384 Å, c = 5.495 Å
α = 111.38°, β = 111.38°, γ = 82.13°
Atoms (fractional coordinates):
Tl  0.000  0.000  0.000
Ag  0.214  0.785  0.500
Ag  0.224  0.224  0.724
Ag  0.353  0.646  0.999
Ag  0.355  0.355  0.352
Ag  0.645  0.645  0.648
Ag  0.646  0.353  0.999
Ag  0.785  0.214  0.500
Au  0.000  0.499  0.999
Au  0.499  0.000  0.999
Au  0.499  0.999  0.499
Au  0.778  0.778  0.278
Au  0.999  0.499  0.499

---

TlAgAu2 | PBE-GGA | relaxed

Results
Its crystal system is monoclinic. The symmetry is C2/m (12). The total energy is -2.872 eV/atom. The calculation puts the total moment at 0.00 μB/cell. As for the density of states at the Fermi level: 0.2674 states/eV per atom. The calculation puts the energy above the most stable polymorph in this dataset at 20 meV per atom.

a = 5.362 Å, b = 5.362 Å, c = 5.030 Å
α = 101.87°, β = 101.87°, γ = 34.79°
Atoms (fractional coordinates):
Tl  0.000  0.000  0.000
Ag  0.500  0.500  0.500
Au  0.239  0.239  0.736
Au  0.761  0.761  0.264

---

TlAgAu2 | PBE-GGA | relaxed

Results
Its crystal system is tetragonal. The symmetry is P4/mmm (123). The total energy is -2.873 eV/atom. The calculation puts the total moment at 0.00 μB/cell. As for the density of states at the Fermi level: 0.2952 states/eV per atom. The calculation puts the energy above the most stable polymorph in this dataset at 19 meV per atom.

a = 4.429 Å, b = 4.429 Å, c = 4.080 Å
α = 90.00°, β = 90.00°, γ = 90.00°
Atoms (fractional coordinates):
Tl  0.000  0.000  0.000
Ag  0.500  0.500  0.000
Au  0.000  0.500  0.500
Au  0.500  0.000  0.500

---

TlAg2Au4 | PBE-GGA | relaxed

Results
Its crystal system is orthorhombic. The symmetry is Fmmm (69). The total energy is -2.996 eV/atom. The calculation puts the total moment at 0.00 μB/cell. As for the density of states at the Fermi level: 0.4199 states/eV per atom.

a = 7.159 Å, b = 5.786 Å, c = 5.764 Å
α = 76.61°, β = 51.83°, γ = 51.56°
Atoms (fractional coordinates):
Tl  0.000  0.000  0.000
Ag  0.304  0.696  0.304
Ag  0.696  0.304  0.696
Au  0.250  0.250  0.250
Au  0.298  0.298  0.702
Au  0.702  0.702  0.298
Au  0.750  0.750  0.750

---

Tl3Ag2Au7 | PBE-GGA | relaxed

Results
Its crystal system is trigonal. The symmetry is R-3m (166). The total energy is -2.973 eV/atom. The calculation puts the total moment at 0.00 μB/cell. As for the density of states at the Fermi level: 0.5044 states/eV per atom.

a = 9.966 Å, b = 9.966 Å, c = 9.966 Å
α = 33.06°, β = 33.06°, γ = 33.06°
Atoms (fractional coordinates):
Tl  0.000  0.000  0.000
Tl  0.137  0.137  0.137
Tl  0.863  0.863  0.863
Ag  0.333  0.333  0.333
Ag  0.667  0.667  0.667
Au  0.081  0.586  0.586
Au  0.414  0.414  0.919
Au  0.414  0.919  0.414
Au  0.500  0.500  0.500
Au  0.586  0.081  0.586
Au  0.586  0.586  0.081
Au  0.919  0.414  0.414

---

- What is the formula in the third record?
  TlAgAu2